Re2TcF: relaxed, GGA-PBE.

Cell lengths 6.4266, 6.4266, 5.4976 Å; angles 90.00, 90.00, 90.00 degrees
With the nearest neighbours (Å) after each atom.
Fractional coordinates of all 16 atoms:
Re 0.2123 0.7500 0.1250  2 F 2.22
Re 0.2500 0.2123 0.8750  2 F 2.22
Re 0.2500 0.2877 0.3750  2 F 2.22
Re 0.2877 0.7500 0.6250  2 F 2.22
Re 0.7123 0.2500 0.6250  2 F 2.22
Re 0.7500 0.7123 0.3750  2 F 2.22
Re 0.7500 0.7877 0.8750  2 F 2.22
Re 0.7877 0.2500 0.1250  2 F 2.22
Tc 0.0000 0.0000 0.5000  4 Re 2.54, 2 F 2.75
Tc 0.0000 0.5000 0.7500  4 Re 2.54, 2 F 2.75
Tc 0.5000 0.0000 0.2500  4 Re 2.54, 2 F 2.75
Tc 0.5000 0.5000 0.0000  4 Re 2.54, 2 F 2.75
F 0.0000 0.0000 0.0000  4 Re 2.22
F 0.0000 0.5000 0.2500  4 Re 2.22
F 0.5000 0.0000 0.7500  4 Re 2.22
F 0.5000 0.5000 0.5000  4 Re 2.22

Calculated values
Energy, eV/atom: -8.657
Energy relative to the elements, uncorrected, kJ/mol of formula units: 242
Energy above the lowest structure with this stoichiometry, kJ/mol of formula units: 80
Total moment, μB per formula unit: 0.000
Crystal system: tetragonal